# 1
Here is a relaxed structure of Ac6Co from Alexandria. Energies are from GGA-PBE.

Results
- Total magnetic moment: 0.0 μB per formula unit
- DOS at the Fermi energy: 1.715 states/eV per atom
- Energy of formation: -0.0035 eV/atom
- Calculated density: 8.25 Mg/m³

Structure (CIF):
```
data_Ac6Co
_cell_length_a 13.275
_cell_length_b 12.241
_cell_length_c 7.044
_cell_angle_alpha 90.00
_cell_angle_beta 90.00
_cell_angle_gamma 90.00
_symmetry_space_group_name_H-M 'P n m a'
_symmetry_Int_Tables_number 62
_symmetry_space_group_name_Hall '-P 2ac 2n'
loop_
_atom_site_label
_atom_site_fract_x
_atom_site_fract_y
_atom_site_fract_z
Ac1 0.000 0.078 0.245
Ac2 0.008 0.250 0.750
Ac3 0.245 0.588 0.418
Ac4 0.250 0.250 0.404
Co1 0.113 0.750 0.588
```


# 2
Here is a relaxed structure of AcCo from Alexandria. Energies are from GGA-PBE.

Results
- Total magnetic moment: 0.6 μB per formula unit
- DOS at the Fermi energy: 1.200 states/eV per atom
- Energy of formation: 0.0022 eV/atom
- Calculated density: 8.71 Mg/m³

Structure (CIF):
```
data_AcCo
_cell_length_a 4.161
_cell_length_b 12.807
_cell_length_c 4.091
_cell_angle_alpha 90.00
_cell_angle_beta 90.00
_cell_angle_gamma 90.00
_symmetry_space_group_name_H-M 'C m c m'
_symmetry_Int_Tables_number 63
_symmetry_space_group_name_Hall '-C 2c 2'
loop_
_atom_site_label
_atom_site_fract_x
_atom_site_fract_y
_atom_site_fract_z
Ac1 0.000 0.132 0.250
Co1 0.000 0.460 0.250
```


# 3
Here is a relaxed structure of Ac4Co from Alexandria. Energies are from GGA-PBE.

Results
- Total magnetic moment: 0.0 μB per formula unit
- DOS at the Fermi energy: 2.130 states/eV per atom
- Energy of formation: 0.0487 eV/atom
- Energy above the most stable polymorph in this dataset: 0.058 eV/atom
- Calculated density: 8.26 Mg/m³

Structure (CIF):
```
data_Ac4Co
_cell_length_a 5.793
_cell_length_b 5.793
_cell_length_c 5.793
_cell_angle_alpha 90.00
_cell_angle_beta 90.00
_cell_angle_gamma 90.00
_symmetry_space_group_name_H-M 'P m -3 m'
_symmetry_Int_Tables_number 221
_symmetry_space_group_name_Hall '-P 4 2 3'
loop_
_atom_site_label
_atom_site_fract_x
_atom_site_fract_y
_atom_site_fract_z
Ac1 0.000 0.000 0.000
Ac2 0.000 0.500 0.500
Co1 0.500 0.500 0.500
```


# 4
Here is a relaxed structure of Ac5Co from Alexandria. Energies are from GGA-PBE.

Results
- Total magnetic moment: 0.0 μB per formula unit
- DOS at the Fermi energy: 1.378 states/eV per atom
- Energy of formation: 0.0579 eV/atom
- Energy above the most stable polymorph in this dataset: 0.000 eV/atom
- Calculated density: 8.48 Mg/m³

Structure (CIF):
```
data_Ac5Co
_cell_length_a 13.014
_cell_length_b 3.927
_cell_length_c 9.426
_cell_angle_alpha 90.00
_cell_angle_beta 103.90
_cell_angle_gamma 90.00
_symmetry_space_group_name_H-M 'C 1 m 1'
_symmetry_Int_Tables_number 8
_symmetry_space_group_name_Hall 'C -2y'
loop_
_atom_site_label
_atom_site_fract_x
_atom_site_fract_y
_atom_site_fract_z
Ac1 0.000 0.000 0.000
Ac2 0.080 0.000 0.416
Ac3 0.190 0.500 0.813
Ac4 0.294 0.000 0.198
Ac5 0.386 0.000 0.632
Co1 0.119 0.500 0.195
```


# 5
Here is a relaxed structure of Ac8Co5 from Alexandria. Energies are from GGA-PBE.

Results
- Total magnetic moment: 0.0 μB per formula unit
- DOS at the Fermi energy: 0.840 states/eV per atom
- Energy of formation: 0.0051 eV/atom
- Calculated density: 8.58 Mg/m³

Structure (CIF):
```
data_Ac8Co5
_cell_length_a 13.129
_cell_length_b 8.463
_cell_length_c 9.843
_cell_angle_alpha 90.00
_cell_angle_beta 131.64
_cell_angle_gamma 90.00
_symmetry_space_group_name_H-M 'C 1 2/m 1'
_symmetry_Int_Tables_number 12
_symmetry_space_group_name_Hall '-C 2y'
loop_
_atom_site_label
_atom_site_fract_x
_atom_site_fract_y
_atom_site_fract_z
Ac1 0.047 0.245 0.335
Ac2 0.194 0.500 0.170
Ac3 0.207 0.000 0.167
Co1 0.000 0.249 0.000
Co2 0.000 0.500 0.500
Co3 0.228 0.500 0.498
```


# 6
Here is a relaxed structure of AcCo13 from Alexandria. Energies are from GGA-PBE.

Results
- Total magnetic moment: 20.4 μB per formula unit
- DOS at the Fermi energy: 1.340 states/eV per atom
- Energy of formation: -0.0108 eV/atom
- Calculated density: 9.04 Mg/m³

Structure (CIF):
```
data_AcCo13
_cell_length_a 11.342
_cell_length_b 11.342
_cell_length_c 11.342
_cell_angle_alpha 90.00
_cell_angle_beta 90.00
_cell_angle_gamma 90.00
_symmetry_space_group_name_H-M 'F m -3 c'
_symmetry_Int_Tables_number 226
_symmetry_space_group_name_Hall '-F 4a 2 3'
loop_
_atom_site_label
_atom_site_fract_x
_atom_site_fract_y
_atom_site_fract_z
Ac1 0.250 0.250 0.250
Co1 0.000 0.000 0.000
Co2 0.000 0.117 0.177
```


Which value of energy of formation does entry 2 give? 0.0022 eV/atom


The highest calculated density belongs to which entry? AcCo13


Which of these has the lowest calculated density? Ac6Co


Among the records above, which one has the highest DOS at the Fermi energy? Ac4Co